Model i:
CoIrAu2 | SCAN | PBEsol geometry

extended XYZ file:
```
4
Lattice="4.7349 0.0000 0.0000 0.0000 2.7723 0.0000 -1.5092 0.0000 4.4944" Properties=species:S:1:pos:R:3 pbc="T T T"
Co 0.0000 0.0000 0.0000
Ir 2.3675 1.3862 0.0000
Au -0.7546 1.3862 2.2472
Au 1.6129 0.0000 2.2472
```

Properties
* space group: P2/m, No. 10
* Fermi-level density of states: 3.240 states/eV/cell



Model ii:
CoIrAu2 | SCAN | PBEsol geometry

extended XYZ file:
```
8
Lattice="2.7955 0.0000 0.0000 0.0000 4.5678 0.0000 0.0000 0.0000 9.2701" Properties=species:S:1:pos:R:3 pbc="T T T"
Co 0.0000 0.0000 0.0000
Co 1.3977 2.2839 4.6351
Ir 0.0000 0.0000 4.6351
Ir 1.3977 2.2839 0.0000
Au 0.0000 2.2839 2.4396
Au 0.0000 2.2839 6.8305
Au 1.3977 0.0000 2.1955
Au 1.3977 0.0000 7.0746
```

Properties
* space group: Immm, No. 71
* Fermi-level density of states: 4.895 states/eV/cell



Stability summary - winner: model i; margin: 0.044 eV/atom.



Model i:
Co2IrAu | SCAN | PBEsol geometry

extended XYZ file:
```
8
Lattice="4.0075 0.0000 0.0000 0.0000 2.6724 0.0000 0.0000 0.0000 9.7949" Properties=species:S:1:pos:R:3 pbc="T T T"
Co 0.0000 0.0000 0.0000
Co 0.0000 1.3362 4.8975
Co 2.0037 0.0000 1.2418
Co 2.0037 1.3362 6.1392
Ir 2.0037 0.0000 3.9388
Ir 2.0037 1.3362 8.8362
Au 0.0000 0.0000 7.2409
Au 0.0000 1.3362 2.3435
```

Properties
* space group: Amm2, No. 38
* Fermi-level density of states: 5.334 states/eV/cell



Model ii:
Co2IrAu | SCAN | PBEsol geometry

extended XYZ file:
```
4
Lattice="2.6748 0.0000 0.0000 0.0000 3.5971 0.0000 0.0000 0.0000 5.4417" Properties=species:S:1:pos:R:3 pbc="T T T"
Co 0.0000 0.0000 1.2165
Co 0.0000 0.0000 4.2252
Ir 1.3374 1.7985 0.0000
Au 1.3374 1.7985 2.7208
```

Properties
* space group: Pmmm, No. 47
* Fermi-level density of states: 4.197 states/eV/cell



Stability summary - winner: model ii; margin: 0.013 eV/atom.



Model i:
Co2IrAu | SCAN | PBEsol geometry

extended XYZ file:
```
16
Lattice="5.9522 0.0000 0.0000 0.0000 5.9522 0.0000 0.0000 0.0000 5.9522" Properties=species:S:1:pos:R:3 pbc="T T T"
Co 1.4880 1.4880 1.4880
Co 1.4880 1.4880 4.4641
Co 1.4880 4.4641 1.4880
Co 1.4880 4.4641 4.4641
Co 4.4641 1.4880 1.4880
Co 4.4641 1.4880 4.4641
Co 4.4641 4.4641 1.4880
Co 4.4641 4.4641 4.4641
Ir 0.0000 0.0000 0.0000
Ir 0.0000 2.9761 2.9761
Ir 2.9761 0.0000 2.9761
Ir 2.9761 2.9761 0.0000
Au 0.0000 0.0000 2.9761
Au 0.0000 2.9761 0.0000
Au 2.9761 0.0000 0.0000
Au 2.9761 2.9761 2.9761
```

Properties
* space group: Fm-3m, No. 225
* Fermi-level density of states: 16.147 states/eV/cell



Model ii:
Co2IrAu | SCAN | PBEsol geometry

extended XYZ file:
```
8
Lattice="8.8467 0.0000 0.0000 0.0000 2.6784 0.0000 -0.9821 0.0000 4.4061" Properties=species:S:1:pos:R:3 pbc="T T T"
Co 0.0000 0.0000 0.0000
Co 1.7974 1.3392 1.1291
Co 4.4233 1.3392 0.0000
Co 6.2208 0.0000 1.1291
Ir 1.4631 0.0000 3.4962
Ir 5.8865 1.3392 3.4962
Au 3.8448 0.0000 2.1598
Au 8.2682 1.3392 2.1598
```

Properties
* space group: Cm, No. 8
* Fermi-level density of states: 6.683 states/eV/cell



Stability summary - winner: model ii; margin: 0.040 eV/atom.



Model i:
CoMoAu2 | SCAN | PBEsol geometry

extended XYZ file:
```
8
Lattice="2.8020 0.0000 0.0000 0.0000 4.6132 0.0000 0.0000 0.0000 9.2466" Properties=species:S:1:pos:R:3 pbc="T T T"
Co 0.0000 0.0000 0.0000
Co 1.4010 2.3066 4.6233
Mo 0.0000 2.3066 6.4901
Mo 1.4010 0.0000 1.8668
Au 0.0000 0.0000 4.4406
Au 0.0000 2.3066 2.4062
Au 1.4010 0.0000 7.0295
Au 1.4010 2.3066 9.0639
```

Properties
* space group: Imm2, No. 44
* Fermi-level density of states: 6.499 states/eV/cell



Model ii:
CoMoAu2 | SCAN | PBEsol geometry

extended XYZ file:
```
4
Lattice="4.7544 0.0000 0.0000 0.0000 4.7544 0.0000 0.0000 0.0000 2.7078" Properties=species:S:1:pos:R:3 pbc="T T T"
Co 0.0000 0.0000 0.0000
Mo 2.3772 2.3772 0.0000
Au 0.0000 2.3772 1.3539
Au 2.3772 0.0000 1.3539
```

Properties
* space group: P4/mmm, No. 123
* Fermi-level density of states: 3.360 states/eV/cell



Stability summary - winner: model ii; margin: 0.014 eV/atom.



Model i:
CoNiAu | SCAN | PBEsol geometry

extended XYZ file:
```
6
Lattice="2.9646 0.0000 0.0000 0.0000 2.9646 0.0000 0.0000 0.0000 8.6706" Properties=species:S:1:pos:R:3 pbc="T T T"
Co 0.0000 0.0000 0.0000
Co 1.4823 1.4823 4.3353
Ni 0.0000 0.0000 3.1860
Ni 1.4823 1.4823 7.5213
Au 0.0000 0.0000 5.9436
Au 1.4823 1.4823 1.6083
```

Properties
* space group: I4mm, No. 107
* Fermi-level density of states: 4.762 states/eV/cell



Model ii:
CoNiAu | SCAN | PBEsol geometry

extended XYZ file:
```
12
Lattice="5.6113 0.0000 0.0000 0.0000 5.6113 0.0000 0.0000 0.0000 5.6113" Properties=species:S:1:pos:R:3 pbc="T T T"
Co 0.0000 0.0000 0.0000
Co 0.0000 2.8057 2.8057
Co 2.8057 0.0000 2.8057
Co 2.8057 2.8057 0.0000
Ni 1.4028 1.4028 4.2085
Ni 1.4028 4.2085 1.4028
Ni 4.2085 1.4028 1.4028
Ni 4.2085 4.2085 4.2085
Au 1.4028 1.4028 1.4028
Au 1.4028 4.2085 4.2085
Au 4.2085 1.4028 4.2085
Au 4.2085 4.2085 1.4028
```

Properties
* space group: F-43m, No. 216
* Fermi-level density of states: 17.107 states/eV/cell



Stability summary - winner: model i; margin: 0.340 eV/atom.



Model i:
Co2OsAu | SCAN | PBEsol geometry

extended XYZ file:
```
4
Lattice="2.6528 0.0000 0.0000 0.0000 2.6528 0.0000 0.0000 0.0000 7.2472" Properties=species:S:1:pos:R:3 pbc="T T T"
Co 0.0000 0.0000 1.6674
Co 0.0000 0.0000 5.5797
Os 1.3264 1.3264 0.0000
Au 1.3264 1.3264 3.6236
```

Properties
* space group: P4/mmm, No. 123
* Fermi-level density of states: 5.239 states/eV/cell



Model ii:
Co2OsAu | SCAN | PBEsol geometry

extended XYZ file:
```
8
Lattice="5.3810 0.0000 0.0000 0.0000 7.2465 0.0000 0.0000 0.0000 2.6357" Properties=species:S:1:pos:R:3 pbc="T T T"
Co 1.3452 1.8116 0.0000
Co 1.3452 5.4349 0.0000
Co 4.0357 1.8116 0.0000
Co 4.0357 5.4349 0.0000
Os 0.0000 0.0000 1.3179
Os 2.6905 3.6233 1.3179
Au 0.0000 3.6233 1.3179
Au 2.6905 0.0000 1.3179
```

Properties
* space group: Cmmm, No. 65
* Fermi-level density of states: 6.738 states/eV/cell



Stability summary - winner: model i; margin: 0.021 eV/atom.



Model i:
CoP2Au | SCAN | PBEsol geometry

extended XYZ file:
```
16
Lattice="6.0695 0.0000 0.0000 0.0000 6.0695 0.0000 0.0000 0.0000 6.0695" Properties=species:S:1:pos:R:3 pbc="T T T"
Co 0.0000 0.0000 0.0000
Co 0.0000 3.0347 3.0347
Co 3.0347 0.0000 3.0347
Co 3.0347 3.0347 0.0000
P 0.0000 0.0000 3.0347
P 0.0000 3.0347 0.0000
P 1.5174 1.5174 4.5521
P 1.5174 4.5521 1.5174
P 3.0347 0.0000 0.0000
P 3.0347 3.0347 3.0347
P 4.5521 1.5174 1.5174
P 4.5521 4.5521 4.5521
Au 1.5174 1.5174 1.5174
Au 1.5174 4.5521 4.5521
Au 4.5521 1.5174 4.5521
Au 4.5521 4.5521 1.5174
```

Properties
* space group: F-43m, No. 216
* Fermi-level density of states: 11.447 states/eV/cell



Model ii:
CoP2Au | SCAN | PBEsol geometry

extended XYZ file:
```
12
Lattice="3.1031 0.0000 0.0000 -1.5516 2.6874 0.0000 0.0000 0.0000 19.9547" Properties=species:S:1:pos:R:3 pbc="T T T"
Co 0.0000 0.0000 0.0000
Co 0.0000 1.7916 13.3032
Co 1.5516 0.8958 6.6516
P 0.0000 0.0000 5.4343
P 0.0000 0.0000 10.4134
P 0.0000 1.7916 3.7618
P 0.0000 1.7916 18.7374
P 1.5516 0.8958 12.0858
P 1.5516 0.8958 17.0649
Au 0.0000 0.0000 15.3346
Au 0.0000 1.7916 8.6831
Au 1.5516 0.8958 2.0315
```

Properties
* space group: R3m, No. 160
* Fermi-level density of states: 6.161 states/eV/cell



Stability summary - winner: model ii; margin: 0.517 eV/atom.



Model i:
CoPAu2 | SCAN | PBEsol geometry

extended XYZ file:
```
8
Lattice="12.8175 0.0000 0.0000 0.0000 2.7109 0.0000 -0.4263 0.0000 3.4705" Properties=species:S:1:pos:R:3 pbc="T T T"
Co 0.0000 0.0000 0.0000
Co 6.4088 1.3555 0.0000
P -0.2132 1.3555 1.7352
P 6.1956 0.0000 1.7352
Au 2.1908 1.3555 0.7666
Au 3.7916 0.0000 2.7039
Au 8.5996 0.0000 0.7666
Au 10.2004 1.3555 2.7039
```

Properties
* space group: C2/m, No. 12
* Fermi-level density of states: 4.632 states/eV/cell



Model ii:
CoPAu2 | SCAN | PBEsol geometry

extended XYZ file:
```
8
Lattice="3.8502 0.0000 0.0000 0.0000 3.8502 0.0000 0.0000 0.0000 7.9465" Properties=species:S:1:pos:R:3 pbc="T T T"
Co 0.0000 0.0000 0.0000
Co 1.9251 1.9251 3.9732
P 0.0000 0.0000 3.9732
P 1.9251 1.9251 0.0000
Au 0.0000 1.9251 1.9866
Au 0.0000 1.9251 5.9599
Au 1.9251 0.0000 1.9866
Au 1.9251 0.0000 5.9599
```

Properties
* space group: I4/mmm, No. 139
* Fermi-level density of states: 3.885 states/eV/cell



Stability summary - winner: model i; margin: 0.347 eV/atom.